[1]
Entry from Alexandria via LeMat-Bulk: a relaxed structure of Ti4NbAu (PBE).

Results
ΔH_f (0 K) = 0.353 eV per atom
N(E_F) = 8.5 states/eV per cell

a b c (Å): 4.421 4.421 6.187
angles (deg): 90.00 90.00 90.00
Space group P4/mmm (No. 123)
Asymmetric unit:
Ti: 0.000 0.500 0.242
Nb: 0.000 0.000 0.000
Au: 0.500 0.500 0.500

[2]
Entry from Alexandria via LeMat-Bulk: a relaxed structure of PmZrZnTc (PBE).

Results
ΔH_f (0 K) = -0.086 eV per atom
N(E_F) = 16.2 states/eV per cell

a b c (Å): 6.898 6.898 6.898
angles (deg): 90.00 90.00 90.00
Space group F-43m (No. 216)
Asymmetric unit:
Pm: 0.000 0.000 0.000
Zr: 0.000 0.000 0.500
Zn: 0.250 0.250 0.250
Tc: 0.250 0.250 0.750

[3]
Entry from Alexandria via LeMat-Bulk: a relaxed structure of BaSrV3 (PBE).

Results
Relative energy among the computed polymorphs = 0 kJ/mol of formula units
ΔH_f (0 K) = 1.941 eV per atom
N(E_F) = 5.9 states/eV per cell

a b c (Å): 5.748 5.748 5.748
angles (deg): 90.00 90.00 90.00
Space group Pm-3m (No. 221)
Asymmetric unit:
Ba: 0.000 0.000 0.000
Sr: 0.500 0.500 0.500
V: 0.000 0.500 0.500

[4]
Entry from Alexandria via LeMat-Bulk: a relaxed structure of CsSn2Te2 (PBE).

Results
Relative energy among the computed polymorphs = 78 kJ/mol of formula units
N(E_F) = 4.6 states/eV per cell
ΔE_f (raw) = -287 meV per atom

a b c (Å): 4.838 4.838 16.497
angles (deg): 90.00 90.00 90.00
Space group I4/mmm (No. 139)
Asymmetric unit:
Cs: 0.000 0.000 0.000
Sn: 0.000 0.500 0.250
Te: 0.000 0.000 0.390